Entry 1:
This record from Alexandria describes CoAsNO2 at its PBEsol-relaxed geometry. The functional is SCAN.

a b c (Å): 3.4723 3.7587 3.7587
angles (deg): 90.00 90.00 90.00
Sites, in units of the cell vectors:
O  0.0000  0.0000  0.5000
O  0.0000  0.5000  0.0000
As  0.5000  0.5000  0.5000
N  0.5000  0.0000  0.0000
Co  0.0000  0.0000  0.0000

## Properties
Its space group is P4/mmm (123). For the uncorrected formation energy, the calculation gives 156 meV/atom.



Entry 2:
This record from Alexandria describes BeS3I at its PBEsol-relaxed geometry. The functional is SCAN.

a b c (Å): 5.0072 5.0072 5.0072
angles (deg): 90.00 90.00 90.00
Sites, in units of the cell vectors:
I  0.0000  0.0000  0.0000
S  0.0000  0.5000  0.0000
S  0.0000  0.0000  0.5000
S  0.5000  0.0000  0.0000
Be  0.5000  0.5000  0.5000

## Properties
Its space group is Pm-3m (221). For the uncorrected formation energy, the calculation gives 1369 meV/atom.



Entry 3:
This record from Alexandria describes CoAsPt2 at its PBEsol-relaxed geometry. The functional is SCAN.

a b c (Å): 3.9006 3.9006 4.6587
angles (deg): 114.75 114.75 90.00
Sites, in units of the cell vectors:
Pt  0.7500  0.2500  0.5000
Pt  0.0000  0.0000  0.0000
As  0.5000  0.5000  0.0000
Co  0.2500  0.7500  0.5000

## Properties
The calculated formation energy is 0.017 eV per atom. Its space group is I-4m2 (119).



Entry 4:
This record from Alexandria describes HfBSeBr2 at its PBEsol-relaxed geometry. The functional is SCAN.

a b c (Å): 4.6076 4.4442 4.4442
angles (deg): 90.00 90.00 90.00
Sites, in units of the cell vectors:
Se  0.5000  0.0000  0.0000
B  0.0000  0.0000  0.0000
Br  0.0000  0.5000  0.0000
Br  0.0000  0.0000  0.5000
Hf  0.5000  0.5000  0.5000

## Properties
Its space group is P4/mmm (123). For the uncorrected formation energy, the calculation gives 647 meV/atom.